Cs2HfReBr6 | PBE | optimized geometry

The structure in CIF format:
```
data_Cs2HfReBr6
_cell_length_a 7.5221
_cell_length_b 7.5221
_cell_length_c 10.8060
_cell_angle_alpha 90.00
_cell_angle_beta 90.00
_cell_angle_gamma 90.00
_space_group_name_H-M_alt 'I 4/m m m'
_space_group_IT_number 139
_space_group_name_Hall '-I 4 2'
loop_
_atom_site_label
_atom_site_fract_x
_atom_site_fract_y
_atom_site_fract_z
_atom_site_occupancy
Cs1 0.0000 0.5000 0.2500 1
Hf1 0.0000 0.0000 0.0000 1
Re1 0.0000 0.0000 0.5000 1
Br1 0.0000 0.0000 0.2509 1
Br2 0.2478 0.2478 0.5000 1
```

Computed properties:
Its total magnetization is 2.0 μB per cell. Its mass density is 6.0 Mg/m³. For the energy relative to the elements, uncorrected, the calculation gives -0.69 eV per atom.

***

Cs2HfSBr6 | PBE | optimized geometry

The structure in CIF format:
```
data_Cs2HfSBr6
_cell_length_a 8.1125
_cell_length_b 8.1125
_cell_length_c 12.5013
_cell_angle_alpha 90.00
_cell_angle_beta 90.00
_cell_angle_gamma 90.00
_space_group_name_H-M_alt 'I 4/m m m'
_space_group_IT_number 139
_space_group_name_Hall '-I 4 2'
loop_
_atom_site_label
_atom_site_fract_x
_atom_site_fract_y
_atom_site_fract_z
_atom_site_occupancy
Cs1 0.0000 0.5000 0.2500 1
Hf1 0.0000 0.0000 0.0000 1
S1 0.0000 0.0000 0.5000 1
Br1 0.0000 0.0000 0.2101 1
Br2 0.2289 0.2289 0.0000 1
```

Computed properties:
Its total magnetization is 4.0 μB per cell. Its mass density is 3.9 Mg/m³. For the energy relative to the elements, uncorrected, the calculation gives -1.19 eV per atom.

***

Cs2HfSbBr6 | PBE | optimized geometry

The structure in CIF format:
```
data_Cs2HfSbBr6
_cell_length_a 8.6797
_cell_length_b 8.6797
_cell_length_c 12.2556
_cell_angle_alpha 90.00
_cell_angle_beta 90.00
_cell_angle_gamma 90.00
_space_group_name_H-M_alt 'I 4/m m m'
_space_group_IT_number 139
_space_group_name_Hall '-I 4 2'
loop_
_atom_site_label
_atom_site_fract_x
_atom_site_fract_y
_atom_site_fract_z
_atom_site_occupancy
Cs1 0.0000 0.5000 0.2500 1
Hf1 0.0000 0.0000 0.0000 1
Sb1 0.0000 0.0000 0.5000 1
Br1 0.0000 0.0000 0.2145 1
Br2 0.2142 0.2142 0.0000 1
```

Computed properties:
Its total magnetization is 6.0 μB per cell. Its mass density is 3.8 Mg/m³. For the energy relative to the elements, uncorrected, the calculation gives -1.18 eV per atom.

***

CsHf2ScBr | PBE | optimized geometry

The structure in CIF format:
```
data_CsHf2ScBr
_cell_length_a 5.3334
_cell_length_b 5.3334
_cell_length_c 5.9767
_cell_angle_alpha 90.00
_cell_angle_beta 90.00
_cell_angle_gamma 90.00
_space_group_name_H-M_alt 'P 4/m m m'
_space_group_IT_number 123
_space_group_name_Hall '-P 4 2'
loop_
_atom_site_label
_atom_site_fract_x
_atom_site_fract_y
_atom_site_fract_z
_atom_site_occupancy
Cs1 0.0000 0.0000 0.0000 1
Hf1 0.0000 0.5000 0.0000 1
Sc1 0.5000 0.5000 0.5000 1
Br1 0.0000 0.0000 0.5000 1
```

Computed properties:
Its total magnetization is 0.0 μB per cell. Its mass density is 6.0 Mg/m³. For the energy relative to the elements, uncorrected, the calculation gives 1.89 eV per atom.